(1)
This record from Alexandria via LeMat-Bulk describes a relaxed Tb6CeSc2 crystal. The functional is GGA-PBE.

D(E_F): 1.9801 states/eV/atom
formation enthalpy at 0 K: 0.1399 eV/atom
calculated density: 7.188 g/cm3
ΔE to the lowest computed polymorph: 0 meV/atom
crystal system: monoclinic

a b c (Å): 12.0386 14.3747 6.4411
angles (deg): 90.00 101.13 90.00
Space group C2/c (No. 15)
One atom of each set of equivalent atoms:
Tb  0.0453  0.1900  0.0177 x8
Tb  0.1529  0.4021  0.8044 x8
Tb  0.2408  0.1790  0.6956 x8
Ce  0.0000  0.4046  0.2500 x4
Sc  0.1254  0.0141  0.3686 x8

(2)
This record from Alexandria via LeMat-Bulk describes a relaxed TbCeSc crystal. The functional is GGA-PBE.

D(E_F): 2.1917 states/eV/atom
formation enthalpy at 0 K: 0.0878 eV/atom
calculated density: 6.725 g/cm3
ΔE to the lowest computed polymorph: 12 meV/atom
crystal system: tetragonal

a b c (Å): 3.4326 3.4326 14.4186
angles (deg): 90.00 90.00 90.00
Space group I4mm (No. 107)
One atom of each set of equivalent atoms:
Tb  0.0000  0.0000  0.0000 x2
Ce  0.0000  0.0000  0.3288 x2
Sc  0.0000  0.0000  0.6711 x2

(3)
This record from Alexandria via LeMat-Bulk describes a relaxed TbCe2Sc crystal. The functional is GGA-PBE.

D(E_F): 3.3536 states/eV/atom
formation enthalpy at 0 K: 0.2104 eV/atom
calculated density: 6.795 g/cm3
ΔE to the lowest computed polymorph: 118 meV/atom
crystal system: cubic

a b c (Å): 7.7926 7.7926 7.7926
angles (deg): 90.00 90.00 90.00
Space group Fm-3m (No. 225)
One atom of each set of equivalent atoms:
Tb  0.0000  0.0000  0.0000 x4
Ce  0.2500  0.2500  0.2500 x8
Sc  0.0000  0.0000  0.5000 x4

(4)
This record from Alexandria via LeMat-Bulk describes a relaxed TbCeSc2 crystal. The functional is GGA-PBE.

D(E_F): 1.8780 states/eV/atom
formation enthalpy at 0 K: 0.0662 eV/atom
calculated density: 5.973 g/cm3
ΔE to the lowest computed polymorph: 4 meV/atom
crystal system: trigonal

a b c (Å): 3.3912 3.3912 32.5715
angles (deg): 90.00 90.00 120.00
Space group R-3m (No. 166, hexagonal axes)
One atom of each set of equivalent atoms:
Tb  0.0000  0.0000  0.0000 x3
Ce  0.0000  0.0000  0.5000 x3
Sc  0.0000  0.0000  0.2484 x6

(5)
This record from Alexandria via LeMat-Bulk describes a relaxed TbCe4Sc crystal. The functional is GGA-PBE.

D(E_F): 3.1411 states/eV/atom
formation enthalpy at 0 K: 0.2414 eV/atom
calculated density: 7.404 g/cm3
crystal system: cubic

a b c (Å): 8.8183 8.8183 8.8183
angles (deg): 90.00 90.00 90.00
Space group F-43m (No. 216)
One atom of each set of equivalent atoms:
Tb  0.0000  0.0000  0.0000 x4
Ce  0.1213  0.1213  0.3787 x16
Sc  0.2500  0.2500  0.7500 x4

(6)
This record from Alexandria via LeMat-Bulk describes a relaxed Tb6CeSc2 crystal. The functional is GGA-PBE.

D(E_F): 2.0197 states/eV/atom
formation enthalpy at 0 K: 0.1992 eV/atom
calculated density: 6.913 g/cm3
ΔE to the lowest computed polymorph: 59 meV/atom
crystal system: monoclinic

a b c (Å): 17.6490 12.0645 5.3410
angles (deg): 90.00 90.03 90.00
Space group C2/c (No. 15)
One atom of each set of equivalent atoms:
Tb  0.0959  0.0792  0.2503 x8
Tb  0.0989  0.3710  0.2489 x8
Tb  0.2002  0.1743  0.7506 x8
Ce  0.0000  0.2199  0.7500 x4
Sc  0.2131  0.4343  0.7489 x8

(7)
This record from Alexandria via LeMat-Bulk describes a relaxed Tb2CeSc3 crystal. The functional is GGA-PBE.

D(E_F): 1.7028 states/eV/atom
formation enthalpy at 0 K: 0.1698 eV/atom
calculated density: 5.861 g/cm3
crystal system: orthorhombic

a b c (Å): 6.5333 15.3868 3.3416
angles (deg): 90.00 90.00 90.00
Space group Pnnm (No. 58)
One atom of each set of equivalent atoms:
Tb  0.2455  0.1656  0.0000 x4
Ce  0.0000  0.5000  0.0000 x2
Sc  0.0000  0.0000  0.5000 x2
Sc  0.2471  0.3560  0.5000 x4

(8)
This record from Alexandria via LeMat-Bulk describes a relaxed TbCe2Sc crystal. The functional is GGA-PBE.

D(E_F): 2.5657 states/eV/atom
formation enthalpy at 0 K: 0.0921 eV/atom
calculated density: 7.130 g/cm3
ΔE to the lowest computed polymorph: 0 meV/atom
crystal system: trigonal

a b c (Å): 3.4124 3.4124 33.5412
angles (deg): 90.00 90.00 120.00
Space group R-3m (No. 166, hexagonal axes)
One atom of each set of equivalent atoms:
Tb  0.0000  0.0000  0.0000 x3
Ce  0.0000  0.0000  0.2470 x6
Sc  0.0000  0.0000  0.5000 x3

(9)
This record from Alexandria via LeMat-Bulk describes a relaxed Tb2CeSc crystal. The functional is GGA-PBE.

D(E_F): 2.5433 states/eV/atom
formation enthalpy at 0 K: 0.1851 eV/atom
calculated density: 6.917 g/cm3
ΔE to the lowest computed polymorph: 108 meV/atom
crystal system: cubic

a b c (Å): 7.8458 7.8458 7.8458
angles (deg): 90.00 90.00 90.00
Space group Fm-3m (No. 225)
One atom of each set of equivalent atoms:
Tb  0.2500  0.2500  0.2500 x8
Ce  0.0000  0.0000  0.0000 x4
Sc  0.0000  0.0000  0.5000 x4

(10)
This record from Alexandria via LeMat-Bulk describes a relaxed Tb5CeSc3 crystal. The functional is GGA-PBE.

D(E_F): 1.8274 states/eV/atom
formation enthalpy at 0 K: 0.5526 eV/atom
calculated density: 6.099 g/cm3
crystal system: monoclinic

a b c (Å): 14.5346 11.1785 8.7752
angles (deg): 90.00 125.22 90.00
Space group C2/m (No. 12)
One atom of each set of equivalent atoms:
Tb  0.0000  0.2391  0.0000 x4
Tb  0.0436  0.0000  0.3566 x4
Tb  0.1729  0.2595  0.7237 x8
Tb  0.1885  0.5000  0.4369 x4
Ce  0.1063  0.5000  0.8573 x4
Sc  0.0000  0.5000  0.0000 x2
Sc  0.0000  0.5000  0.5000 x2
Sc  0.1526  0.0000  0.0990 x4
Sc  0.2148  0.0000  0.8106 x4

(11)
This record from Alexandria via LeMat-Bulk describes a relaxed Tb2CeScTe4 crystal. The functional is GGA-PBE.

D(E_F): 1.3273 states/eV/atom
ΔE_f (raw): -121.41 kJ/mol of atoms
calculated density: 7.192 g/cm3
crystal system: monoclinic

a b c (Å): 7.5364 4.3234 7.5945
angles (deg): 90.00 109.01 90.00
Space group P2/m (No. 10)
One atom of each set of equivalent atoms:
Tb  0.0000  0.0000  0.0000 x1
Tb  0.0000  0.5000  0.5000 x1
Ce  0.5000  0.0000  0.5000 x1
Sc  0.5000  0.5000  0.0000 x1
Te  0.2492  0.5000  0.2389 x2
Te  0.2576  0.0000  0.7630 x2

(12)
This record from Alexandria via LeMat-Bulk describes a relaxed TbCe3Sc2Te6 crystal. The functional is GGA-PBE.

D(E_F): 1.9599 states/eV/atom
ΔE_f (raw): -122.48 kJ/mol of atoms
calculated density: 6.761 g/cm3
crystal system: monoclinic

a b c (Å): 7.4900 12.9869 7.6662
angles (deg): 90.00 109.07 90.00
Space group C2/m (No. 12)
One atom of each set of equivalent atoms:
Tb  0.0000  0.0000  0.0000 x2
Ce  0.0000  0.1604  0.5000 x4
Ce  0.0000  0.5000  0.5000 x2
Sc  0.0000  0.3314  0.0000 x4
Te  0.2305  0.5000  0.2250 x4
Te  0.2495  0.1716  0.2324 x8

(13)
This record from Alexandria via LeMat-Bulk describes a relaxed TbCe2ScTe4 crystal. The functional is GGA-PBE.

D(E_F): 1.9281 states/eV/atom
ΔE_f (raw): -124.08 kJ/mol of atoms
calculated density: 6.934 g/cm3
crystal system: monoclinic

a b c (Å): 7.5432 4.3341 7.6985
angles (deg): 90.00 108.86 90.00
Space group P2/m (No. 10)
One atom of each set of equivalent atoms:
Tb  0.0000  0.0000  0.0000 x1
Ce  0.0000  0.5000  0.5000 x1
Ce  0.5000  0.0000  0.5000 x1
Sc  0.5000  0.5000  0.0000 x1
Te  0.2526  0.5000  0.2351 x2
Te  0.2643  0.0000  0.7701 x2

(14)
This record from Alexandria via LeMat-Bulk describes a relaxed TbCeSc2Tl4 crystal. The functional is GGA-PBE.

D(E_F): 1.5441 states/eV/atom
formation enthalpy at 0 K: -0.2647 eV/atom
calculated density: 9.567 g/cm3
crystal system: trigonal

a b c (Å): 5.2795 5.2795 26.0245
angles (deg): 90.00 90.00 120.00
Space group R-3m (No. 166, hexagonal axes)
One atom of each set of equivalent atoms:
Tb  0.0000  0.0000  0.0000 x3
Ce  0.0000  0.0000  0.5000 x3
Sc  0.0000  0.0000  0.2503 x6
Tl  0.0000  0.0000  0.1234 x6
Tl  0.0000  0.0000  0.3737 x6

(15)
This record from Alexandria via LeMat-Bulk describes a relaxed Tb3Ce2Tm6Sc crystal. The functional is GGA-PBE.

D(E_F): 1.6797 states/eV/atom
formation enthalpy at 0 K: 0.0485 eV/atom
calculated density: 8.405 g/cm3
crystal system: monoclinic

a b c (Å): 6.0382 10.4556 11.5402
angles (deg): 90.00 100.03 90.00
Space group C2/m (No. 12)
One atom of each set of equivalent atoms:
Tb  0.0000  0.0000  0.0000 x2
Tb  0.0000  0.3341  0.0000 x4
Ce  0.0000  0.1662  0.5000 x4
Tm  0.2485  0.3338  0.7462 x8
Tm  0.2496  0.0000  0.7465 x4
Sc  0.0000  0.5000  0.5000 x2

(16)
This record from Alexandria via LeMat-Bulk describes a relaxed Tb2CeTm4Sc crystal. The functional is GGA-PBE.

D(E_F): 1.6077 states/eV/atom
formation enthalpy at 0 K: 0.0530 eV/atom
calculated density: 8.213 g/cm3
crystal system: tetragonal

a b c (Å): 4.9270 4.9270 9.8164
angles (deg): 90.00 90.00 90.00
Space group P4/mmm (No. 123)
One atom of each set of equivalent atoms:
Tb  0.0000  0.0000  0.0000 x1
Tb  0.5000  0.5000  0.0000 x1
Ce  0.0000  0.0000  0.5000 x1
Tm  0.0000  0.5000  0.2559 x4
Sc  0.5000  0.5000  0.5000 x1

(17)
This record from Alexandria via LeMat-Bulk describes a relaxed Tb6Ce2Tm3Sc crystal. The functional is GGA-PBE.

D(E_F): 1.8796 states/eV/atom
formation enthalpy at 0 K: 0.0550 eV/atom
calculated density: 8.105 g/cm3
crystal system: monoclinic

a b c (Å): 6.0733 10.5210 11.6291
angles (deg): 90.00 100.04 90.00
Space group C2/m (No. 12)
One atom of each set of equivalent atoms:
Tb  0.2494  0.0000  0.2515 x4
Tb  0.2490  0.1661  0.7482 x8
Ce  0.0000  0.3336  0.5000 x4
Tm  0.0000  0.1661  0.0000 x4
Tm  0.0000  0.5000  0.0000 x2
Sc  0.0000  0.0000  0.5000 x2

(18)
This record from Alexandria via LeMat-Bulk describes a relaxed TbCeTmSc crystal. The functional is GGA-PBE.

D(E_F): 1.8999 states/eV/atom
formation enthalpy at 0 K: 0.1258 eV/atom
calculated density: 7.230 g/cm3
crystal system: cubic

a b c (Å): 7.7816 7.7816 7.7816
angles (deg): 90.00 90.00 90.00
Space group F-43m (No. 216)
One atom of each set of equivalent atoms:
Tb  0.0000  0.0000  0.0000 x4
Ce  0.0000  0.0000  0.5000 x4
Tm  0.2500  0.2500  0.2500 x4
Sc  0.2500  0.2500  0.7500 x4

(19)
This record from Alexandria via LeMat-Bulk describes a relaxed Tb2CeTmSc4 crystal. The functional is GGA-PBE.

D(E_F): 1.7592 states/eV/atom
formation enthalpy at 0 K: 0.0663 eV/atom
calculated density: 6.114 g/cm3
crystal system: monoclinic

a b c (Å): 5.8949 3.4035 11.1015
angles (deg): 90.00 100.36 90.00
Space group P2/m (No. 10)
One atom of each set of equivalent atoms:
Tb  0.0000  0.0000  0.0000 x1
Tb  0.0000  0.5000  0.5000 x1
Ce  0.5000  0.0000  0.5000 x1
Tm  0.5000  0.5000  0.0000 x1
Sc  0.2546  0.0000  0.7497 x2
Sc  0.2564  0.5000  0.2523 x2

(20)
This record from Alexandria via LeMat-Bulk describes a relaxed TbCeTm3Sc crystal. The functional is GGA-PBE.

D(E_F): 1.8933 states/eV/atom
formation enthalpy at 0 K: 0.0688 eV/atom
calculated density: 7.981 g/cm3
crystal system: orthorhombic

a b c (Å): 4.9159 14.6835 9.8097
angles (deg): 90.00 90.00 90.00
Space group Cmcm (No. 63)
One atom of each set of equivalent atoms:
Tb  0.0000  0.0000  0.0000 x4
Ce  0.0000  0.4985  0.2500 x4
Tm  0.0000  0.1695  0.2500 x4
Tm  0.0000  0.3337  0.0003 x8
Sc  0.0000  0.1671  0.7500 x4